# 1
{
  "formula": "BeP3Pd",
  "functional": "GGA-PBE",
  "state": "relaxed",
  "lattice": [[4.6680, 0.0000, 0.0000], [0.0000, 4.6680, 0.0000], [0.0000, 0.0000, 4.6680]],
  "species": ["Be", "P", "P", "P", "Pd"],
  "frac_coords": [[0.0000, 0.0000, 0.0000], [0.0000, 0.5000, 0.5000], [0.5000, 0.0000, 0.5000], [0.5000, 0.5000, 0.0000], [0.5000, 0.5000, 0.5000]],
  "delta_e_f_mev_per_atom": 1236,
  "sg": "Pm-3m (221)",
  "crystal_system": "cubic"
}

# 2
{
  "formula": "Ho5Pd4Au",
  "functional": "GGA-PBE",
  "state": "relaxed",
  "lattice": [[3.4991, 0.0000, 0.0000], [0.0000, 3.4991, 0.0000], [0.0000, 0.0000, 17.6985]],
  "species": ["Ho", "Ho", "Ho", "Ho", "Ho", "Pd", "Pd", "Pd", "Pd", "Au"],
  "frac_coords": [[0.0000, 0.0000, 0.0000], [0.0000, 0.0000, 0.1977], [0.0000, 0.0000, 0.3962], [0.0000, 0.0000, 0.6038], [0.0000, 0.0000, 0.8023], [0.5000, 0.5000, 0.0987], [0.5000, 0.5000, 0.2968], [0.5000, 0.5000, 0.7032], [0.5000, 0.5000, 0.9013], [0.5000, 0.5000, 0.5000]],
  "delta_e_f_mev_per_atom": -892,
  "sg": "P4/mmm (123)",
  "crystal_system": "tetragonal"
}

# 3
{
  "formula": "UPd2PtAu",
  "functional": "GGA-PBE",
  "state": "relaxed",
  "lattice": [[6.6793, 0.0000, 0.0000], [0.0000, 4.1250, 0.0000], [-0.9557, 0.0000, 6.6785]],
  "species": ["U", "U", "Pd", "Pd", "Pd", "Pd", "Pt", "Pt", "Au", "Au"],
  "frac_coords": [[0.1967, 0.2500, 0.2248], [0.8033, 0.7500, 0.7752], [0.1692, 0.7500, 0.5338], [0.4749, 0.2500, 0.6422], [0.5251, 0.7500, 0.3578], [0.8308, 0.2500, 0.4662], [0.1011, 0.2500, 0.8045], [0.8989, 0.7500, 0.1955], [0.3690, 0.7500, 0.9308], [0.6310, 0.2500, 0.0692]],
  "delta_e_f_mev_per_atom": -391,
  "sg": "P2_1/m (11)",
  "crystal_system": "monoclinic"
}

# 4
{
  "formula": "Pm2Sn2Hg",
  "functional": "GGA-PBE",
  "state": "relaxed",
  "lattice": [[5.9170, -2.3101, 0.0000], [5.9170, 2.3101, 0.0000], [-4.7019, 0.0000, 10.1878]],
  "species": ["Pm", "Pm", "Pm", "Pm", "Sn", "Sn", "Sn", "Sn", "Hg", "Hg"],
  "frac_coords": [[0.0059, 0.0059, 0.1782], [0.1816, 0.1816, 0.6087], [0.8184, 0.8184, 0.3913], [0.9941, 0.9941, 0.8218], [0.3583, 0.3583, 0.9366], [0.4487, 0.4487, 0.6020], [0.5513, 0.5513, 0.3980], [0.6417, 0.6417, 0.0634], [0.2996, 0.2996, 0.1742], [0.7004, 0.7004, 0.8258]],
  "delta_e_f_mev_per_atom": -619,
  "sg": "C2/m (12)",
  "crystal_system": "monoclinic"
}

# 5
{
  "formula": "CuIOF2",
  "functional": "GGA-PBE",
  "state": "relaxed",
  "lattice": [[3.6440, 0.0000, 0.0000], [0.0000, 3.6440, 0.0000], [0.0000, 0.0000, 6.0690]],
  "species": ["Cu", "I", "O", "F", "F"],
  "frac_coords": [[0.0000, 0.0000, 0.0000], [0.5000, 0.5000, 0.5000], [0.0000, 0.0000, 0.5000], [0.0000, 0.5000, 0.0000], [0.5000, 0.0000, 0.0000]],
  "raw_formation_energy_mev_per_atom": -614,
  "sg": "P4/mmm (123)",
  "crystal_system": "tetragonal"
}

# 6
{
  "formula": "Ce4PuTh10",
  "functional": "GGA-PBE",
  "state": "relaxed",
  "lattice": [[-5.8297, 5.8297, 3.4758], [5.8297, -5.8297, 3.4758], [5.8297, 5.8297, -3.4758]],
  "species": ["Ce", "Ce", "Ce", "Ce", "Pu", "Th", "Th", "Th", "Th", "Th", "Th", "Th", "Th", "Th", "Th"],
  "frac_coords": [[0.2469, 0.2469, 0.4939], [0.2469, 0.7531, 0.0000], [0.7531, 0.2469, 0.0000], [0.7531, 0.7531, 0.5061], [0.0000, 0.0000, 0.0000], [0.0473, 0.2616, 0.7857], [0.2500, 0.7500, 0.5000], [0.2616, 0.0473, 0.7857], [0.2616, 0.4760, 0.2143], [0.4760, 0.2616, 0.2143], [0.5240, 0.7384, 0.7857], [0.7384, 0.5240, 0.7857], [0.7384, 0.9527, 0.2143], [0.7500, 0.2500, 0.5000], [0.9527, 0.7384, 0.2143]],
  "delta_e_f_mev_per_atom": 306,
  "sg": "I4/mmm (139)",
  "crystal_system": "tetragonal"
}

# 7
{
  "formula": "Ac3TlS2",
  "functional": "GGA-PBE",
  "state": "relaxed",
  "lattice": [[-2.2017, 3.2004, 6.8614], [2.2017, -3.2004, 6.8614], [2.2017, 3.2004, -6.8614]],
  "species": ["Ac", "Ac", "Ac", "Tl", "S", "S"],
  "frac_coords": [[0.0000, 0.0000, 0.0000], [0.3170, 0.3170, 0.0000], [0.6830, 0.6830, 0.0000], [0.5000, 0.0000, 0.5000], [0.1629, 0.6629, 0.5000], [0.8371, 0.3371, 0.5000]],
  "raw_formation_energy_mev_per_atom": -1398,
  "sg": "Immm (71)",
  "crystal_system": "orthorhombic"
}

# 8
{
  "formula": "CsAg2Sb2",
  "functional": "GGA-PBE",
  "state": "relaxed",
  "lattice": [[9.2231, 0.0000, 0.0000], [0.0000, 9.2231, 0.0000], [0.0000, 0.0000, 3.3002]],
  "species": ["Cs", "Cs", "Ag", "Ag", "Ag", "Ag", "Sb", "Sb", "Sb", "Sb"],
  "frac_coords": [[0.0000, 0.0000, 0.0000], [0.5000, 0.5000, 0.0000], [0.1227, 0.3773, 0.0000], [0.3773, 0.8773, 0.0000], [0.6227, 0.1227, 0.0000], [0.8773, 0.6227, 0.0000], [0.1523, 0.6523, 0.5000], [0.3477, 0.1523, 0.5000], [0.6523, 0.8477, 0.5000], [0.8477, 0.3477, 0.5000]],
  "raw_formation_energy_mev_per_atom": 20,
  "sg": "P4/mbm (127)",
  "crystal_system": "tetragonal"
}

# 9
{
  "formula": "ZrAs2W2",
  "functional": "GGA-PBE",
  "state": "relaxed",
  "lattice": [[7.4202, 0.0000, 0.0000], [0.0000, 7.4202, 0.0000], [0.0000, 0.0000, 3.1012]],
  "species": ["Zr", "Zr", "As", "As", "As", "As", "W", "W", "W", "W"],
  "frac_coords": [[0.0000, 0.0000, 0.0000], [0.5000, 0.5000, 0.0000], [0.1562, 0.3438, 0.0000], [0.3438, 0.8438, 0.0000], [0.6562, 0.1562, 0.0000], [0.8438, 0.6562, 0.0000], [0.1322, 0.6322, 0.5000], [0.3678, 0.1322, 0.5000], [0.6322, 0.8678, 0.5000], [0.8678, 0.3678, 0.5000]],
  "delta_e_f_mev_per_atom": 41,
  "sg": "P4/mbm (127)",
  "crystal_system": "tetragonal"
}

# 10
{
  "formula": "NdY2Ga2Ag2",
  "functional": "GGA-PBE",
  "state": "relaxed",
  "lattice": [[2.3237, 1.3416, 9.0980], [-2.3237, 1.3416, 9.0980], [0.0000, -2.6831, 9.0980]],
  "species": ["Nd", "Y", "Y", "Ga", "Ga", "Ag", "Ag"],
  "frac_coords": [[0.0000, 0.0000, 0.0000], [0.1265, 0.1265, 0.1265], [0.8735, 0.8735, 0.8735], [0.2556, 0.2556, 0.2556], [0.7444, 0.7444, 0.7444], [0.4035, 0.4035, 0.4035], [0.5965, 0.5965, 0.5965]],
  "delta_e_f_mev_per_atom": -387,
  "sg": "R-3m (166)",
  "crystal_system": "trigonal"
}

# 11
{
  "formula": "SnIrC",
  "functional": "GGA-PBE",
  "state": "relaxed",
  "lattice": [[3.1515, 0.0000, 0.0000], [0.0000, 3.2770, 0.0000], [0.0000, 0.0000, 4.6645]],
  "species": ["Sn", "Ir", "C"],
  "frac_coords": [[0.0000, 0.0000, 0.0000], [0.5000, 0.5000, 0.6104], [0.5000, 0.0000, 0.3795]],
  "delta_e_f_mev_per_atom": 728,
  "sg": "Pmm2 (25)",
  "crystal_system": "orthorhombic"
}

# 12
{
  "formula": "K2SnHgRh",
  "functional": "GGA-PBE",
  "state": "relaxed",
  "lattice": [[6.6980, 0.0000, 0.0000], [0.0000, 6.6980, 0.0000], [0.0000, 0.0000, 4.9279]],
  "species": ["K", "K", "Sn", "Hg", "Rh"],
  "frac_coords": [[0.0000, 0.5000, 0.0000], [0.5000, 0.0000, 0.0000], [0.0000, 0.0000, 0.0000], [0.5000, 0.5000, 0.5000], [0.0000, 0.0000, 0.5000]],
  "delta_e_f_mev_per_atom": 241,
  "sg": "P4/mmm (123)",
  "crystal_system": "tetragonal"
}

# 13
{
  "formula": "CaV2ZnPd",
  "functional": "GGA-PBE",
  "state": "relaxed",
  "lattice": [[4.6869, 0.0000, 0.0000], [0.0000, 4.6869, 0.0000], [0.0000, 0.0000, 5.2506]],
  "species": ["Ca", "V", "V", "Zn", "Pd"],
  "frac_coords": [[0.0000, 0.0000, 0.0000], [0.0000, 0.5000, 0.5000], [0.5000, 0.0000, 0.5000], [0.0000, 0.0000, 0.5000], [0.5000, 0.5000, 0.0000]],
  "delta_e_f_mev_per_atom": 952,
  "sg": "P4/mmm (123)",
  "crystal_system": "tetragonal"
}

# 14
{
  "formula": "LaPIN2",
  "functional": "GGA-PBE",
  "state": "relaxed",
  "lattice": [[4.2985, 0.0000, 0.0000], [0.0000, 4.2985, 0.0000], [0.0000, 0.0000, 7.1241]],
  "species": ["La", "P", "I", "N", "N"],
  "frac_coords": [[0.0000, 0.0000, 0.0000], [0.5000, 0.5000, 0.5000], [0.0000, 0.0000, 0.5000], [0.0000, 0.5000, 0.0000], [0.5000, 0.0000, 0.0000]],
  "raw_formation_energy_mev_per_atom": 1039,
  "sg": "P4/mmm (123)",
  "crystal_system": "tetragonal"
}

# 15
{
  "formula": "CsZnHgTe2",
  "functional": "GGA-PBE",
  "state": "relaxed",
  "lattice": [[8.4592, 0.0000, 0.0000], [0.0000, 6.1797, 0.0000], [-1.2351, 0.0000, 6.7683]],
  "species": ["Cs", "Cs", "Zn", "Zn", "Hg", "Hg", "Te", "Te", "Te", "Te"],
  "frac_coords": [[0.0000, 0.2421, 0.2500], [0.0000, 0.7579, 0.7500], [0.5000, 0.5000, 0.0000], [0.5000, 0.5000, 0.5000], [0.5000, 0.1060, 0.2500], [0.5000, 0.8940, 0.7500], [0.2728, 0.2613, 0.8193], [0.2728, 0.7387, 0.3193], [0.7272, 0.2613, 0.6807], [0.7272, 0.7387, 0.1807]],
  "raw_formation_energy_mev_per_atom": -399,
  "sg": "P2/c (13)",
  "crystal_system": "monoclinic"
}

# 16
{
  "formula": "HoInPt2",
  "functional": "GGA-PBE",
  "state": "relaxed",
  "lattice": [[0.0000, 3.3916, 3.3916], [3.3916, 0.0000, 3.3916], [3.3916, 3.3916, 0.0000]],
  "species": ["Ho", "In", "Pt", "Pt"],
  "frac_coords": [[0.0000, 0.0000, 0.0000], [0.5000, 0.5000, 0.5000], [0.2500, 0.2500, 0.2500], [0.7500, 0.7500, 0.7500]],
  "delta_e_f_mev_per_atom": -930,
  "sg": "Fm-3m (225)",
  "crystal_system": "cubic"
}

# 17
{
  "formula": "AcAg2AsSe4",
  "functional": "GGA-PBE",
  "state": "relaxed",
  "lattice": [[-3.6059, 3.7204, 3.9818], [3.6059, -3.7204, 3.9818], [3.6059, 3.7204, -3.9818]],
  "species": ["Ac", "Ag", "Ag", "As", "Se", "Se", "Se", "Se"],
  "frac_coords": [[0.0000, 0.0000, 0.0000], [0.3142, 0.8142, 0.5000], [0.6858, 0.1858, 0.5000], [0.5000, 0.5000, 0.0000], [0.1076, 0.1047, 0.5877], [0.4830, 0.8953, 0.0029], [0.5170, 0.5199, 0.4123], [0.8924, 0.4801, 0.9971]],
  "raw_formation_energy_mev_per_atom": -606,
  "sg": "I222 (23)",
  "crystal_system": "orthorhombic"
}

# 18
{
  "formula": "LiH12Rh6",
  "functional": "GGA-PBE",
  "state": "relaxed",
  "lattice": [[4.0420, 2.3337, 2.4673], [-4.0420, 2.3337, 2.4673], [0.0000, -4.6674, 2.4673]],
  "species": ["Li", "H", "H", "H", "H", "H", "H", "H", "H", "H", "H", "H", "H", "Rh", "Rh", "Rh", "Rh", "Rh", "Rh"],
  "frac_coords": [[0.0000, 0.0000, 0.0000], [0.0420, 0.8954, 0.3390], [0.1046, 0.6610, 0.9580], [0.1793, 0.4512, 0.5896], [0.3390, 0.0420, 0.8954], [0.4104, 0.8207, 0.5488], [0.4512, 0.5896, 0.1793], [0.5488, 0.4104, 0.8207], [0.5896, 0.1793, 0.4512], [0.6610, 0.9580, 0.1046], [0.8207, 0.5488, 0.4104], [0.8954, 0.3390, 0.0420], [0.9580, 0.1046, 0.6610], [0.1414, 0.5831, 0.2858], [0.2858, 0.1414, 0.5831], [0.4169, 0.7142, 0.8586], [0.5831, 0.2858, 0.1414], [0.7142, 0.8586, 0.4169], [0.8586, 0.4169, 0.7142]],
  "total_energy_ev_per_atom": -4.609,
  "sg": "R-3 (148)",
  "crystal_system": "trigonal"
}

# 19
{
  "formula": "Ti4Re",
  "functional": "GGA-PBE",
  "state": "relaxed",
  "lattice": [[4.7249, 0.0000, 0.0000], [0.0000, 4.7249, 0.0000], [0.0000, 0.0000, 4.7249]],
  "species": ["Ti", "Ti", "Ti", "Ti", "Re"],
  "frac_coords": [[0.0000, 0.0000, 0.0000], [0.0000, 0.5000, 0.5000], [0.5000, 0.0000, 0.5000], [0.5000, 0.5000, 0.0000], [0.5000, 0.5000, 0.5000]],
  "delta_e_f_mev_per_atom": 696,
  "sg": "Pm-3m (221)",
  "crystal_system": "cubic"
}

# 20
{
  "formula": "TlSnAu",
  "functional": "GGA-PBE",
  "state": "relaxed",
  "lattice": [[3.8312, 0.0000, 0.0000], [-0.0122, 6.6653, 0.0000], [-1.8808, -3.3326, 6.2251]],
  "species": ["Tl", "Tl", "Sn", "Sn", "Au", "Au"],
  "frac_coords": [[0.0000, 0.0000, 0.0000], [0.2517, 0.5490, 0.5092], [0.3268, 0.0956, 0.6582], [0.5746, 0.6329, 0.1584], [0.6837, 0.1095, 0.3666], [0.9112, 0.4746, 0.8289]],
  "delta_e_f_mev_per_atom": -63,
  "sg": "P1 (1)",
  "crystal_system": "triclinic"
}